Computed, not measured: Pu6N5F after structural relaxation at the GGA-PBE level of DFT.

Output
Its raw total energy is -12.185 eV per atom. As for the volume: 185 Å³ per cell.

a = 6.107 Å, b = 6.107 Å, c = 6.096 Å
α = 99.67°, β = 99.67°, γ = 120.00°
Sites, in units of the cell vectors:
N 0.665 0.335 0.000
Pu 0.431 0.085 0.254
Pu 0.569 0.915 0.746
Pu 0.085 0.431 0.254
Pu 0.915 0.569 0.746
Pu 0.260 0.260 0.739
Pu 0.740 0.740 0.261
N 0.830 0.170 0.500
F 0.000 0.000 0.000
N 0.170 0.830 0.500
N 0.500 0.500 0.500
N 0.335 0.665 0.000